# 1
PmDy2Rh9: optimized geometry, PBE-GGA.

Output
- DOS at the Fermi energy: 1.11 states/eV per atom
- Formation enthalpy at 0 K: -6.77 eV per formula unit
- Space-group type: R-3m (166)
- Total magnetization: 0.00 Bohr magnetons per cell
- Mass density: 10.95 g cm⁻³

a b c (Å): 9.2823 9.2823 9.2823
angles (deg): 33.05 33.05 33.05
Closest atoms and distances in Å follow each position.
Atoms (fractional coordinates):
Pm 0.0000 0.0000 0.0000  6 Rh 3.05
Dy 0.1393 0.1393 0.1393  12 Rh 3.03-3.30, 3 Dy 3.37
Dy 0.8607 0.8607 0.8607  12 Rh 3.03-3.30, 3 Dy 3.37
Rh 0.0826 0.5832 0.5832  7 Rh 2.64-2.68
Rh 0.3330 0.3330 0.3330  6 Rh 2.65-2.67
Rh 0.4168 0.4168 0.9174  7 Rh 2.64-2.68
Rh 0.4168 0.9174 0.4168  7 Rh 2.64-2.68
Rh 0.5000 0.5000 0.5000  6 Rh 2.68
Rh 0.5832 0.0826 0.5832  7 Rh 2.64-2.68
Rh 0.5832 0.5832 0.0826  7 Rh 2.64-2.68
Rh 0.6670 0.6670 0.6670  6 Rh 2.65-2.67
Rh 0.9174 0.4168 0.4168  7 Rh 2.64-2.68

---

# 2
Pm6Dy2Rh: optimized geometry, PBE-GGA.

Output
- DOS at the Fermi energy: 1.39 states/eV per atom
- Formation enthalpy at 0 K: -0.56 eV per formula unit
- Space-group type: Cmmm (65)
- Total magnetization: 0.00 Bohr magnetons per cell
- Mass density: 7.42 g cm⁻³

a b c (Å): 8.4190 8.4190 5.3037
angles (deg): 90.00 90.00 129.41
Closest atoms and distances in Å follow each position.
Atoms (fractional coordinates):
Pm 0.1130 0.3951 0.5000  1 Rh 2.82
Pm 0.2441 0.2441 0.0000  2 Rh 3.18, 5 Pm 3.41-3.51
Pm 0.3951 0.1130 0.5000  1 Rh 2.82
Pm 0.6049 0.8870 0.5000  1 Rh 2.82
Pm 0.7559 0.7559 0.0000  2 Rh 3.18, 5 Pm 3.41-3.51
Pm 0.8870 0.6049 0.5000  1 Rh 2.82
Dy 0.2503 0.7497 0.0000  8 Pm 3.59-3.63, 2 Dy 3.60
Dy 0.7497 0.2503 0.0000  8 Pm 3.59-3.63, 2 Dy 3.60
Rh 0.0000 0.0000 0.5000  4 Pm 2.82

---

# 3
PmDy2Rh: optimized geometry, PBE-GGA.

Output
- Distance to the lowest polymorph of the same formula: 147.7 meV per atom
- DOS at the Fermi energy: 1.26 states/eV per atom
- Formation enthalpy at 0 K: -1.42 eV per formula unit
- Space-group type: R3m (160)
- Total magnetization: 0.00 Bohr magnetons per cell
- Mass density: 8.04 g cm⁻³

a b c (Å): 3.8720 3.8720 27.3509
angles (deg): 90.00 90.00 120.00
Closest atoms and distances in Å follow each position.
Atoms (fractional coordinates):
Pm 0.0000 0.0000 0.0000  6 Dy 3.67-3.76, 6 Pm 3.87
Pm 0.3333 0.6667 0.6667  6 Dy 3.67-3.76, 6 Pm 3.87
Pm 0.6667 0.3333 0.3333  6 Dy 3.67-3.76, 6 Pm 3.87
Dy 0.0000 0.0000 0.5563  3 Rh 2.75
Dy 0.0000 0.0000 0.7732  3 Rh 2.74
Dy 0.3333 0.6667 0.2230  3 Rh 2.75
Dy 0.3333 0.6667 0.4399  3 Rh 2.74
Dy 0.6667 0.3333 0.1065  3 Rh 2.74
Dy 0.6667 0.3333 0.8897  3 Rh 2.75
Rh 0.0000 0.0000 0.1647  6 Dy 2.74-2.75
Rh 0.3333 0.6667 0.8314  6 Dy 2.74-2.75
Rh 0.6667 0.3333 0.4980  6 Dy 2.74-2.75

---

# 4
Pm2DyRh: optimized geometry, PBE-GGA.

Output
- Distance to the lowest polymorph of the same formula: 386.6 meV per atom
- DOS at the Fermi energy: 1.48 states/eV per atom
- Formation enthalpy at 0 K: -0.32 eV per formula unit
- Space-group type: R-3m (166)
- Total magnetization: 0.57 Bohr magnetons per cell
- Mass density: 7.33 g cm⁻³

a b c (Å): 3.6974 3.6974 31.8667
angles (deg): 90.00 90.00 120.00
Closest atoms and distances in Å follow each position.
Atoms (fractional coordinates):
Pm 0.0000 0.0000 0.1097  3 Rh 2.80
Pm 0.0000 0.0000 0.8903  3 Rh 2.80
Pm 0.3333 0.6667 0.5570  3 Rh 2.80
Pm 0.3333 0.6667 0.7763  3 Rh 2.80
Pm 0.6667 0.3333 0.2237  3 Rh 2.80
Pm 0.6667 0.3333 0.4430  3 Rh 2.80
Dy 0.0000 0.0000 0.0000  2 Pm 3.50, 6 Dy 3.70
Dy 0.3333 0.6667 0.6667  2 Pm 3.50, 6 Dy 3.70
Dy 0.6667 0.3333 0.3333  2 Pm 3.50, 6 Dy 3.70
Rh 0.0000 0.0000 0.5000  6 Pm 2.80
Rh 0.3333 0.6667 0.1667  6 Pm 2.80
Rh 0.6667 0.3333 0.8333  6 Pm 2.80

---

# 5
Pm2DyRh: optimized geometry, PBE-GGA.

Output
- Distance to the lowest polymorph of the same formula: 178.1 meV per atom
- DOS at the Fermi energy: 1.43 states/eV per atom
- Formation enthalpy at 0 K: -1.15 eV per formula unit
- Space-group type: P4/mmm (123)
- Total magnetization: 0.00 Bohr magnetons per cell
- Mass density: 8.24 g cm⁻³

a b c (Å): 3.5901 3.5901 8.6848
angles (deg): 90.00 90.00 90.00
Closest atoms and distances in Å follow each position.
Atoms (fractional coordinates):
Pm 0.0000 0.0000 0.1919  4 Rh 3.04, 1 Pm 3.33
Pm 0.0000 0.0000 0.8081  4 Rh 3.04, 1 Pm 3.33
Dy 0.5000 0.5000 0.5000  4 Dy 3.59, 8 Pm 3.69
Rh 0.5000 0.5000 0.0000  8 Pm 3.04

---

# 6
PmDy5Rh4: optimized geometry, PBE-GGA.

Output
- DOS at the Fermi energy: 0.46 states/eV per atom
- Formation enthalpy at 0 K: -6.41 eV per formula unit
- Space-group type: Immm (71)
- Total magnetization: 0.00 Bohr magnetons per cell
- Mass density: 8.82 g cm⁻³

a b c (Å): 9.2590 9.2590 9.2590
angles (deg): 153.40 133.20 54.64
Closest atoms and distances in Å follow each position.
Atoms (fractional coordinates):
Pm 0.0000 0.0000 0.0000  4 Rh 2.90
Dy 0.0785 0.3346 0.7438  4 Rh 2.73-2.91
Dy 0.4092 0.6654 0.7438  4 Rh 2.73-2.91
Dy 0.5000 0.0000 0.5000  4 Rh 2.73
Dy 0.5908 0.3346 0.2562  4 Rh 2.73-2.91
Dy 0.9215 0.6654 0.2562  4 Rh 2.73-2.91
Rh 0.1996 0.1996 0.0000  6 Dy 2.84-2.91
Rh 0.2669 0.5000 0.7669  4 Dy 2.73, 2 Pm 2.90
Rh 0.7331 0.5000 0.2331  4 Dy 2.73, 2 Pm 2.90
Rh 0.8004 0.8004 0.0000  6 Dy 2.84-2.91